Entry 1:
This record from OQMD via LeMat-Bulk describes an optimized crystal structure of Y2As3W4N3. The functional is PBE.

Output
The calculation puts the calculated total energy at -8.996 eV per atom. The calculated volume comes out at 360.7 Å³ per cell. Its space group is C2/c. The value obtained for the total moment is 0.0 μB/cell. The crystal system is monoclinic.

a b c (Å): 5.8862 5.8862 12.3548
angles (deg): 103.17 103.17 60.88
Last column: nearest neighbours and their distance in Å.
Fractional coordinates of all 24 atoms:
Y 0.0331 0.8681 0.6088  3 N 2.35-2.38
Y 0.1319 0.9669 0.8912  3 N 2.35-2.38
Y 0.8681 0.0331 0.1088  3 N 2.35-2.38
Y 0.9669 0.1319 0.3912  3 N 2.35-2.38
As 0.0744 0.3020 0.7466  4 W 2.74-2.76, 2 Y 2.81
As 0.3020 0.0744 0.2466  4 W 2.74-2.76, 2 Y 2.81
As 0.4556 0.5444 0.7500  4 W 2.69, 2 Y 2.79
As 0.5444 0.4556 0.2500  4 W 2.69, 2 Y 2.79
As 0.6980 0.9256 0.7534  4 W 2.74-2.76, 2 Y 2.81
As 0.9256 0.6980 0.2534  4 W 2.74-2.76, 2 Y 2.81
W 0.2042 0.3675 0.0811  3 N 2.11-2.26
W 0.3208 0.4601 0.4184  3 N 2.13-2.23
W 0.3675 0.2042 0.5811  3 N 2.11-2.26
W 0.4601 0.3208 0.9184  3 N 2.13-2.23
W 0.5399 0.6792 0.0816  3 N 2.13-2.23
W 0.6325 0.7958 0.4189  3 N 2.11-2.26
W 0.6792 0.5399 0.5816  3 N 2.13-2.23
W 0.7958 0.6325 0.9189  3 N 2.11-2.26
N 0.0000 0.5000 0.5000  4 W 2.20-2.23, 2 Y 2.35
N 0.1665 0.6656 0.9995  4 W 2.11-2.26, 1 Y 2.36
N 0.3344 0.8335 0.5005  4 W 2.11-2.26, 1 Y 2.36
N 0.5000 0.0000 0.0000  4 W 2.20-2.23, 2 Y 2.35
N 0.6656 0.1665 0.4995  4 W 2.11-2.26, 1 Y 2.36
N 0.8335 0.3344 0.0005  4 W 2.11-2.26, 1 Y 2.36



Entry 2:
This record from OQMD via LeMat-Bulk describes an optimized crystal structure of Y4As3W2N3. The functional is PBE.

Output
The calculation puts the calculated total energy at -8.464 eV per atom. The calculated volume comes out at 400.3 Å³ per cell. Its space group is C2/c. The value obtained for the total moment is 0.0 μB/cell. The crystal system is monoclinic.

a b c (Å): 6.1045 6.1045 12.8026
angles (deg): 103.11 103.11 60.39
Last column: nearest neighbours and their distance in Å.
Fractional coordinates of all 24 atoms:
Y 0.0357 0.2023 0.1049  3 N 2.40-2.45
Y 0.1360 0.2939 0.3953  3 N 2.40-2.44
Y 0.2023 0.0357 0.6049  3 N 2.40-2.45
Y 0.2939 0.1360 0.8953  3 N 2.40-2.44
Y 0.7061 0.8640 0.1047  3 N 2.40-2.44
Y 0.7977 0.9643 0.3951  3 N 2.40-2.45
Y 0.8640 0.7061 0.6047  3 N 2.40-2.44
Y 0.9643 0.7977 0.8951  3 N 2.40-2.45
As 0.1349 0.8651 0.2500  2 W 2.75, 4 Y 2.84-2.85, 2 As 3.02
As 0.2955 0.4202 0.7495  2 W 2.66-2.73, 4 Y 2.83-2.85
As 0.4202 0.2955 0.2495  2 W 2.66-2.73, 4 Y 2.83-2.85
As 0.5798 0.7045 0.7505  2 W 2.66-2.73, 4 Y 2.83-2.85
As 0.7045 0.5798 0.2505  2 W 2.66-2.73, 4 Y 2.83-2.85
As 0.8651 0.1349 0.7500  2 W 2.75, 4 Y 2.84-2.85, 2 As 3.02
W 0.3800 0.5264 0.0817  3 N 2.18-2.39
W 0.4736 0.6200 0.4183  3 N 2.18-2.39
W 0.5264 0.3800 0.5817  3 N 2.18-2.39
W 0.6200 0.4736 0.9183  3 N 2.18-2.39
N 0.0000 0.5000 0.0000  2 W 2.39, 4 Y 2.40
N 0.1738 0.6629 0.4997  2 W 2.18-2.20, 3 Y 2.43-2.44
N 0.3371 0.8262 0.0003  2 W 2.18-2.20, 3 Y 2.43-2.44
N 0.5000 0.0000 0.5000  2 W 2.39, 4 Y 2.40
N 0.6629 0.1738 0.9997  2 W 2.18-2.20, 3 Y 2.43-2.44
N 0.8262 0.3371 0.5003  2 W 2.18-2.20, 3 Y 2.43-2.44



Entry 3:
This record from OQMD via LeMat-Bulk describes an optimized crystal structure of ZnAsW4N2. The functional is PBE.

Output
The calculation puts the calculated total energy at -9.080 eV per atom. The calculated volume comes out at 103.5 Å³ per cell. Its space group is P-6m2. The value obtained for the total moment is 0.0 μB/cell. The crystal system is hexagonal.

a b c (Å): 2.8892 2.8892 14.3205
angles (deg): 90.00 90.00 120.00
Last column: nearest neighbours and their distance in Å.
Fractional coordinates of all 8 atoms:
Zn 0.0000 0.0000 0.0000  6 W 2.80, 6 Zn 2.89
As 0.6667 0.3333 0.5000  6 W 2.65, 6 As 2.89
W 0.0000 0.0000 0.3559  3 N 2.21
W 0.0000 0.0000 0.6441  3 N 2.21
W 0.6667 0.3333 0.1567  3 N 2.18
W 0.6667 0.3333 0.8433  3 N 2.18
N 0.3333 0.6667 0.2547  6 W 2.18-2.21
N 0.3333 0.6667 0.7453  6 W 2.18-2.21



Entry 4:
This record from OQMD via LeMat-Bulk describes an optimized crystal structure of Zr2As3W4N3. The functional is PBE.

Output
The calculation puts the calculated total energy at -9.289 eV per atom. The calculated volume comes out at 341.8 Å³ per cell. Its space group is C2/c. The value obtained for the total moment is 0.0 μB/cell. The crystal system is monoclinic.

a b c (Å): 5.7009 5.7009 12.5549
angles (deg): 103.40 103.40 60.39
Last column: nearest neighbours and their distance in Å.
Fractional coordinates of all 24 atoms:
Zr 0.0319 0.8546 0.6036  3 N 2.20-2.27
Zr 0.1454 0.9681 0.8964  3 N 2.20-2.27
Zr 0.8546 0.0319 0.1036  3 N 2.20-2.27
Zr 0.9681 0.1454 0.3964  3 N 2.20-2.27
As 0.0793 0.2832 0.7481  4 W 2.66-2.76, 2 Zr 2.72-2.78
As 0.2832 0.0793 0.2481  4 W 2.66-2.76, 2 Zr 2.72-2.78
As 0.4469 0.5531 0.7500  4 W 2.61-2.70, 2 Zr 2.71
As 0.5531 0.4469 0.2500  4 W 2.61-2.70, 2 Zr 2.71
As 0.7168 0.9207 0.7519  4 W 2.66-2.76, 2 Zr 2.72-2.78
As 0.9207 0.7168 0.2519  4 W 2.66-2.76, 2 Zr 2.72-2.78
W 0.1986 0.3842 0.0882  3 N 2.14-2.25
W 0.3222 0.4476 0.4154  3 N 2.13-2.24
W 0.3842 0.1986 0.5882  3 N 2.14-2.25
W 0.4476 0.3222 0.9154  3 N 2.13-2.24
W 0.5524 0.6778 0.0846  3 N 2.13-2.24
W 0.6158 0.8014 0.4118  3 N 2.14-2.25
W 0.6778 0.5524 0.5846  3 N 2.13-2.24
W 0.8014 0.6158 0.9118  3 N 2.14-2.25
N 0.0000 0.5000 0.5000  4 W 2.19-2.24, 2 Zr 2.20
N 0.1583 0.6835 0.9997  4 W 2.13-2.25, 2 Zr 2.26-2.27
N 0.3165 0.8417 0.5003  4 W 2.13-2.25, 2 Zr 2.26-2.27
N 0.5000 0.0000 0.0000  4 W 2.19-2.24, 2 Zr 2.20
N 0.6835 0.1583 0.4997  4 W 2.13-2.25, 2 Zr 2.26-2.27
N 0.8417 0.3165 0.0003  4 W 2.13-2.25, 2 Zr 2.26-2.27



Entry 5:
This record from OQMD via LeMat-Bulk describes an optimized crystal structure of Y4ZnAsN2. The functional is PBE.

Output
The calculation puts the calculated total energy at -7.160 eV per atom. The calculated volume comes out at 155.9 Å³ per cell. Its space group is P-6m2. The value obtained for the total moment is 0.0 μB/cell. The crystal system is hexagonal.

a b c (Å): 3.5773 3.5773 14.0635
angles (deg): 90.00 90.00 120.00
Last column: nearest neighbours and their distance in Å.
Fractional coordinates of all 8 atoms:
Y 0.0000 0.0000 0.1465  3 N 2.44
Y 0.0000 0.0000 0.8535  3 N 2.44
Y 0.3333 0.6667 0.3391  3 N 2.50
Y 0.3333 0.6667 0.6609  3 N 2.50
Zn 0.0000 0.0000 0.5000  6 Y 3.06
As 0.3333 0.6667 0.0000  6 Y 2.92
N 0.6667 0.3333 0.2392  6 Y 2.44-2.50
N 0.6667 0.3333 0.7608  6 Y 2.44-2.50



Entry 6:
This record from OQMD via LeMat-Bulk describes an optimized crystal structure of Y4ZnAsN2. The functional is PBE.

Output
The calculation puts the calculated total energy at -7.160 eV per atom. The calculated volume comes out at 155.9 Å³ per cell. Its space group is P-6m2. The value obtained for the total moment is 0.0 μB/cell. The crystal system is hexagonal.

a b c (Å): 3.5773 3.5773 14.0638
angles (deg): 90.00 90.00 120.00
Last column: nearest neighbours and their distance in Å.
Fractional coordinates of all 8 atoms:
Y 0.0000 0.0000 0.1465  3 N 2.44
Y 0.0000 0.0000 0.8535  3 N 2.44
Y 0.6667 0.3333 0.3390  3 N 2.50
Y 0.6667 0.3333 0.6610  3 N 2.50
Zn 0.0000 0.0000 0.5000  6 Y 3.06
As 0.6667 0.3333 0.0000  6 Y 2.92
N 0.3333 0.6667 0.2392  6 Y 2.44-2.50
N 0.3333 0.6667 0.7608  6 Y 2.44-2.50



Entry 7:
This record from OQMD via LeMat-Bulk describes an optimized crystal structure of Y4Zr2As3N3. The functional is PBE.

Output
The calculation puts the calculated total energy at -8.156 eV per atom. The calculated volume comes out at 433.5 Å³ per cell. Its space group is C2/c. The value obtained for the total moment is 0.1 μB/cell. The crystal system is monoclinic.

a b c (Å): 6.2463 6.2463 13.3105
angles (deg): 103.56 103.56 60.14
Last column: nearest neighbours and their distance in Å.
Fractional coordinates of all 24 atoms:
Y 0.0374 0.2001 0.1042  3 N 2.47-2.57
Y 0.1293 0.2984 0.3958  3 N 2.48-2.56
Y 0.2001 0.0374 0.6042  3 N 2.47-2.57
Y 0.2984 0.1293 0.8958  3 N 2.48-2.56
Y 0.7016 0.8707 0.1042  3 N 2.48-2.56
Y 0.7999 0.9626 0.3958  3 N 2.47-2.57
Y 0.8707 0.7016 0.6042  3 N 2.48-2.56
Y 0.9626 0.7999 0.8958  3 N 2.47-2.57
Zr 0.3648 0.5324 0.0961  3 N 2.32-2.42
Zr 0.4676 0.6352 0.4039  3 N 2.32-2.42
Zr 0.5324 0.3648 0.5961  3 N 2.32-2.42
Zr 0.6352 0.4676 0.9039  3 N 2.32-2.42
As 0.1015 0.8985 0.2500  2 Zr 2.79, 4 Y 2.83-2.84
As 0.2677 0.4173 0.7512  2 Zr 2.78-2.80, 4 Y 2.84-2.85
As 0.4173 0.2677 0.2512  2 Zr 2.78-2.80, 4 Y 2.84-2.85
As 0.5827 0.7323 0.7488  2 Zr 2.78-2.80, 4 Y 2.84-2.85
As 0.7323 0.5827 0.2488  2 Zr 2.78-2.80, 4 Y 2.84-2.85
As 0.8985 0.1015 0.7500  2 Zr 2.79, 4 Y 2.83-2.84
N 0.0000 0.5000 0.0000  2 Zr 2.42, 4 Y 2.47-2.48
N 0.1925 0.6539 0.5000  2 Zr 2.32, 4 Y 2.49-2.57
N 0.3461 0.8075 0.0000  2 Zr 2.32, 4 Y 2.49-2.57
N 0.5000 0.0000 0.5000  2 Zr 2.42, 4 Y 2.47-2.48
N 0.6539 0.1925 0.0000  2 Zr 2.32, 4 Y 2.49-2.57
N 0.8075 0.3461 0.5000  2 Zr 2.32, 4 Y 2.49-2.57



Entry 8:
This record from OQMD via LeMat-Bulk describes an optimized crystal structure of Y2Zr4As3N3. The functional is PBE.

Output
The calculation puts the calculated total energy at -8.492 eV per atom. The calculated volume comes out at 406.0 Å³ per cell. Its space group is C2/c. The value obtained for the total moment is 0.0 μB/cell. The crystal system is monoclinic.

a b c (Å): 6.0802 6.0802 13.1560
angles (deg): 103.34 103.34 60.00
Last column: nearest neighbours and their distance in Å.
Fractional coordinates of all 24 atoms:
Y 0.0350 0.8705 0.6036  3 N 2.43-2.45
Y 0.1295 0.9650 0.8964  3 N 2.43-2.45
Y 0.8705 0.0350 0.1036  3 N 2.43-2.45
Y 0.9650 0.1295 0.3964  3 N 2.43-2.45
Zr 0.1985 0.3641 0.0961  3 N 2.33-2.36
Zr 0.2992 0.4692 0.4040  3 N 2.33-2.37
Zr 0.3641 0.1985 0.5961  3 N 2.33-2.36
Zr 0.4692 0.2992 0.9040  3 N 2.33-2.37
Zr 0.5308 0.7008 0.0960  3 N 2.33-2.37
Zr 0.6359 0.8015 0.4039  3 N 2.33-2.36
Zr 0.7008 0.5308 0.5960  3 N 2.33-2.37
Zr 0.8015 0.6359 0.9039  3 N 2.33-2.36
As 0.0843 0.2667 0.7510  4 Zr 2.77-2.78, 2 Y 2.82
As 0.2667 0.0843 0.2510  4 Zr 2.77-2.78, 2 Y 2.82
As 0.4340 0.5660 0.7500  4 Zr 2.78, 2 Y 2.83
As 0.5660 0.4340 0.2500  4 Zr 2.78, 2 Y 2.83
As 0.7333 0.9157 0.7490  4 Zr 2.77-2.78, 2 Y 2.82
As 0.9157 0.7333 0.2490  4 Zr 2.77-2.78, 2 Y 2.82
N 0.0000 0.5000 0.5000  4 Zr 2.36, 2 Y 2.43
N 0.1722 0.6554 0.0000  4 Zr 2.33-2.37, 2 Y 2.45
N 0.3446 0.8278 0.5000  4 Zr 2.33-2.37, 2 Y 2.45
N 0.5000 0.0000 0.0000  4 Zr 2.36, 2 Y 2.43
N 0.6554 0.1722 0.5000  4 Zr 2.33-2.37, 2 Y 2.45
N 0.8278 0.3446 0.0000  4 Zr 2.33-2.37, 2 Y 2.45



Entry 9:
This record from OQMD via LeMat-Bulk describes an optimized crystal structure of Zr3AsN2. The functional is PBE.

Output
The calculation puts the calculated total energy at -9.228 eV per atom. The calculated volume comes out at 175.2 Å³ per cell. Its space group is P6_3/mmc. The value obtained for the total moment is 0.0 μB/cell. The crystal system is hexagonal.

a b c (Å): 3.3573 3.3573 17.9467
angles (deg): 90.00 90.00 120.00
Last column: nearest neighbours and their distance in Å.
Fractional coordinates of all 12 atoms:
Zr 0.0000 0.0000 0.0000  6 N 2.33
Zr 0.0000 0.0000 0.5000  6 N 2.33
Zr 0.3333 0.6667 0.1422  3 N 2.31
Zr 0.3333 0.6667 0.3578  3 N 2.31
Zr 0.6667 0.3333 0.6422  3 N 2.31
Zr 0.6667 0.3333 0.8578  3 N 2.31
As 0.0000 0.0000 0.2500  6 Zr 2.74
As 0.0000 0.0000 0.7500  6 Zr 2.74
N 0.3333 0.6667 0.5721  6 Zr 2.31-2.33
N 0.3333 0.6667 0.9279  6 Zr 2.31-2.33
N 0.6667 0.3333 0.0721  6 Zr 2.31-2.33
N 0.6667 0.3333 0.4279  6 Zr 2.31-2.33



Entry 10:
This record from OQMD via LeMat-Bulk describes an optimized crystal structure of Na2NbAsO6. The functional is PBE.

Output
The calculation puts the calculated total energy at -6.675 eV per atom. The calculated volume comes out at 540.2 Å³ per cell. Its space group is C2/c. The value obtained for the total moment is 0.0 μB/cell. The crystal system is monoclinic.

a b c (Å): 9.0210 9.0210 7.3114
angles (deg): 104.93 104.93 73.51
Last column: nearest neighbours and their distance in Å.
Fractional coordinates of all 40 atoms:
Na 0.0066 0.9934 0.7500  6 O 2.32-2.49
Na 0.0679 0.6469 0.9402  5 O 2.27-2.54
Na 0.3531 0.9321 0.5598  5 O 2.27-2.54
Na 0.4590 0.5410 0.7500  6 O 2.34-2.58
Na 0.5410 0.4590 0.2500  6 O 2.34-2.58
Na 0.6469 0.0679 0.4402  5 O 2.27-2.54
Na 0.9321 0.3531 0.0598  5 O 2.27-2.54
Na 0.9934 0.0066 0.2500  6 O 2.32-2.49
Nb 0.2904 0.2923 0.8902  3 O 1.81-2.00
Nb 0.2923 0.2904 0.3902  3 O 1.81-2.00
Nb 0.7077 0.7096 0.6098  3 O 1.81-2.00
Nb 0.7096 0.7077 0.1098  3 O 1.81-2.00
As 0.0622 0.6845 0.4541  4 O 1.68-1.74
As 0.3155 0.9378 0.0459  4 O 1.68-1.74
As 0.6845 0.0622 0.9541  4 O 1.68-1.74
As 0.9378 0.3155 0.5459  4 O 1.68-1.74
O 0.0434 0.3676 0.7784  1 As 1.74
O 0.0436 0.2764 0.3675  1 As 1.72
O 0.1275 0.8450 0.4697  1 As 1.68
O 0.1550 0.8725 0.0303  1 As 1.68
O 0.2090 0.3142 0.1278  2 Nb 1.92-2.00
O 0.2163 0.5255 0.5040  1 As 1.73
O 0.2764 0.0436 0.8675  1 As 1.72
O 0.3142 0.2090 0.6278  2 Nb 1.92-2.00
O 0.3211 0.4898 0.9481  1 Nb 1.81
O 0.3676 0.0434 0.2784  1 As 1.74
O 0.4745 0.7837 0.9960  1 As 1.73
O 0.4898 0.3211 0.4481  1 Nb 1.81
O 0.5102 0.6789 0.5519  1 Nb 1.81
O 0.5255 0.2163 0.0040  1 As 1.73
O 0.6324 0.9566 0.7216  1 As 1.74
O 0.6789 0.5102 0.0519  1 Nb 1.81
O 0.6858 0.7910 0.3722  2 Nb 1.92-2.00
O 0.7236 0.9564 0.1325  1 As 1.72
O 0.7837 0.4745 0.4960  1 As 1.73
O 0.7910 0.6858 0.8722  2 Nb 1.92-2.00
O 0.8450 0.1275 0.9697  1 As 1.68
O 0.8725 0.1550 0.5303  1 As 1.68
O 0.9564 0.7236 0.6325  1 As 1.72
O 0.9566 0.6324 0.2216  1 As 1.74